{
  "formula": "Ta2BiS",
  "functional": "GGA-PBE",
  "state": "relaxed",
  "lattice": [[0.000, 3.340, 3.340], [3.340, 0.000, 3.340], [3.340, 3.340, 0.000]],
  "species": ["Ta", "Ta", "Bi", "S"],
  "fractional_positions": [[0.750, 0.750, 0.750], [0.250, 0.250, 0.250], [0.500, 0.500, 0.500], [0.000, 0.000, 0.000]],
  "relative_energy_mev_per_atom": 0.0,
  "energy_ev_per_atom": -7.58,
  "e_form_raw_ev_per_fu": 1.40
}